Entry 1:
# PBE-GGA MgTeAs, optimized geometry
# - Formation energy (no corrections): -0.20 eV/atom
# - V: 25.8 A^3/atom
# - Spin magnetization: 0.000 μB/f.u.
# - E: -3.32 eV/atom
data_MgTeAs
_chemical_formula_sum 'Mg1 Te1 As1'
_cell_length_a 6.0845
_cell_length_b 6.0832
_cell_length_c 3.7612
_cell_angle_alpha 72.01
_cell_angle_beta 71.98
_cell_angle_gamma 36.01
_space_group_name_H-M_alt 'P 1'
_space_group_IT_number 1
_space_group_name_Hall 'P 1'
loop_
_atom_site_label
_atom_site_fract_x
_atom_site_fract_y
_atom_site_fract_z
As1 0.9408 0.9408 0.0592
Mg1 0.3603 0.3603 0.6397
Te1 0.6989 0.6989 0.3011

Entry 2:
# PBE-GGA Cs2Cd3F10, optimized geometry
# - Formation energy (no corrections): -2.06 eV/atom
# - V: 19.2 A^3/atom
# - Spin magnetization: 2.091 μB/f.u.
# - E: -3.61 eV/atom
data_Cs2Cd3F10
_chemical_formula_sum 'Cs4 Cd6 F20'
_cell_length_a 6.8356
_cell_length_b 8.8076
_cell_length_c 10.8911
_cell_angle_alpha 111.38
_cell_angle_beta 108.29
_cell_angle_gamma 90.00
_space_group_name_H-M_alt 'P 1'
_space_group_IT_number 1
_space_group_name_Hall 'P 1'
loop_
_atom_site_label
_atom_site_fract_x
_atom_site_fract_y
_atom_site_fract_z
Cs1 0.7119 0.3170 0.4237
Cs2 0.2881 0.6830 0.5763
Cs3 0.6130 0.7213 0.2261
Cs4 0.3870 0.2787 0.7739
Cd1 0.9235 0.5349 0.8469
Cd2 0.0765 0.4651 0.1531
Cd3 0.8191 0.9896 0.6382
Cd4 0.1809 0.0104 0.3618
Cd5 0.7490 0.0000 0.0000
Cd6 0.2510 0.0000 0.0000
F1 0.6527 0.9816 0.7809
F2 0.1282 0.9816 0.7809
F3 0.3473 0.0184 0.2191
F4 0.8718 0.0184 0.2191
F5 0.6263 0.5246 0.7075
F6 0.0812 0.5246 0.7075
F7 0.3737 0.4754 0.2925
F8 0.9188 0.4754 0.2925
F9 0.9765 0.8174 0.9531
F10 0.0235 0.1826 0.0469
F11 0.8638 0.2502 0.7276
F12 0.1362 0.7498 0.2724
F13 0.7654 0.7349 0.5307
F14 0.2346 0.2651 0.4693
F15 0.4795 0.8249 0.9590
F16 0.5205 0.1751 0.0411
F17 0.8000 0.5000 0.0000
F18 0.2000 0.5000 0.0000
F19 0.5000 0.0000 0.5000
F20 0.0000 0.0000 0.5000

Entry 3:
# PBE-GGA CeGd3C, optimized geometry
# - V: 26.7 A^3/atom
# - Spin magnetization: 23.881 μB/f.u.
# - E: -11.38 eV/atom
data_CeGd3C
_chemical_formula_sum 'Ce1 Gd3 C1'
_cell_length_a 5.1082
_cell_length_b 5.1082
_cell_length_c 5.1082
_cell_angle_alpha 90.00
_cell_angle_beta 90.00
_cell_angle_gamma 90.00
_space_group_name_H-M_alt 'P 1'
_space_group_IT_number 1
_space_group_name_Hall 'P 1'
loop_
_atom_site_label
_atom_site_fract_x
_atom_site_fract_y
_atom_site_fract_z
C1 0.0000 0.0000 0.0000
Gd1 0.0000 0.5000 0.0000
Gd2 0.0000 0.0000 0.5000
Gd3 0.5000 0.0000 0.0000
Ce1 0.5000 0.5000 0.5000

Entry 4:
# PBE-GGA BPRhAu, optimized geometry
# - V: 13.6 A^3/atom
# - Spin magnetization: 0.000 μB/f.u.
# - Energy above the most stable polymorph in this dataset: 129 meV/atom
# - E: -5.60 eV/atom
data_BPRhAu
_chemical_formula_sum 'B2 P2 Rh2 Au2'
_cell_length_a 4.5064
_cell_length_b 2.9907
_cell_length_c 8.4636
_cell_angle_alpha 90.00
_cell_angle_beta 106.97
_cell_angle_gamma 90.00
_space_group_name_H-M_alt 'P 1'
_space_group_IT_number 1
_space_group_name_Hall 'P 1'
loop_
_atom_site_label
_atom_site_fract_x
_atom_site_fract_y
_atom_site_fract_z
Rh1 0.6880 0.0000 0.9208
Rh2 0.6880 0.5000 0.4208
B1 0.0438 0.0000 0.5081
B2 0.0438 0.5000 0.0081
Au1 0.0921 0.0000 0.2522
Au2 0.0921 0.5000 0.7522
P1 0.4877 0.0000 0.5953
P2 0.4877 0.5000 0.0953

Entry 5:
# PBE-GGA Pu2Mn5Ge3C2, optimized geometry
# - V: 12.9 A^3/atom
# - Spin magnetization: 0.024 μB/f.u.
# - E: -8.78 eV/atom
data_Pu2Mn5Ge3C2
_chemical_formula_sum 'Pu2 Mn5 Ge3 C2'
_cell_length_a 3.8057
_cell_length_b 3.8057
_cell_length_c 11.0075
_cell_angle_alpha 99.95
_cell_angle_beta 99.95
_cell_angle_gamma 90.00
_space_group_name_H-M_alt 'P 1'
_space_group_IT_number 1
_space_group_name_Hall 'P 1'
loop_
_atom_site_label
_atom_site_fract_x
_atom_site_fract_y
_atom_site_fract_z
Pu1 0.7123 0.7123 0.4246
Pu2 0.2877 0.2877 0.5754
Mn1 0.5831 0.0831 0.1661
Mn2 0.4169 0.9169 0.8339
Mn3 0.0831 0.5831 0.1661
Mn4 0.9169 0.4169 0.8339
Mn5 0.5000 0.5000 0.0000
Ge1 0.1569 0.1569 0.3137
Ge2 0.8431 0.8431 0.6863
Ge3 0.0000 0.0000 0.0000
C1 0.4069 0.4069 0.8138
C2 0.5931 0.5931 0.1862

Entry 6:
# PBE-GGA NiAs2Pd, optimized geometry
# - V: 20.3 A^3/atom
# - Spin magnetization: 0.000 μB/f.u.
# - E: -5.08 eV/atom
data_NiAs2Pd
_chemical_formula_sum 'Ni2 As4 Pd2'
_cell_length_a 5.5871
_cell_length_b 5.5871
_cell_length_c 6.5243
_cell_angle_alpha 64.65
_cell_angle_beta 64.65
_cell_angle_gamma 90.00
_space_group_name_H-M_alt 'P 1'
_space_group_IT_number 1
_space_group_name_Hall 'P 1'
loop_
_atom_site_label
_atom_site_fract_x
_atom_site_fract_y
_atom_site_fract_z
Ni1 0.5000 0.5000 0.0000
Ni2 0.2500 0.7500 0.5000
As1 0.5983 0.1250 0.2500
As2 0.1517 0.6250 0.2500
As3 0.3750 0.4017 0.7500
As4 0.8750 0.8483 0.7500
Pd1 0.0000 0.0000 0.0000
Pd2 0.7500 0.2500 0.5000

Entry 7:
# PBE-GGA MgFe2Br, optimized geometry
# - Formation energy (no corrections): 0.60 eV/atom
# - V: 16.1 A^3/atom
# - Spin magnetization: 5.041 μB/f.u.
# - Energy above the most stable polymorph in this dataset: 488 meV/atom
# - E: -4.45 eV/atom
data_MgFe2Br
_chemical_formula_sum 'Mg1 Fe2 Br1'
_cell_length_a 4.9795
_cell_length_b 4.9795
_cell_length_c 4.9795
_cell_angle_alpha 133.23
_cell_angle_beta 133.23
_cell_angle_gamma 68.30
_space_group_name_H-M_alt 'P 1'
_space_group_IT_number 1
_space_group_name_Hall 'P 1'
loop_
_atom_site_label
_atom_site_fract_x
_atom_site_fract_y
_atom_site_fract_z
Br1 0.7500 0.2500 0.5000
Fe1 0.0000 0.0000 0.0000
Fe2 0.2500 0.7500 0.5000
Mg1 0.5000 0.5000 0.0000

Entry 8:
# PBE-GGA CuNiBr2, optimized geometry
# - Formation energy (no corrections): 0.04 eV/atom
# - V: 23.5 A^3/atom
# - Spin magnetization: 0.989 μB/f.u.
# - Energy above the most stable polymorph in this dataset: 152 meV/atom
# - E: -3.27 eV/atom
data_CuNiBr2
_chemical_formula_sum 'Cu1 Ni1 Br2'
_cell_length_a 3.5779
_cell_length_b 5.0613
_cell_length_c 7.0778
_cell_angle_alpha 132.71
_cell_angle_beta 90.00
_cell_angle_gamma 90.00
_space_group_name_H-M_alt 'P 1'
_space_group_IT_number 1
_space_group_name_Hall 'P 1'
loop_
_atom_site_label
_atom_site_fract_x
_atom_site_fract_y
_atom_site_fract_z
Br1 0.0000 0.7456 0.9881
Br2 0.0000 0.7544 0.5119
Cu1 0.5000 0.2500 0.2500
Ni1 0.5000 0.7500 0.7500

Entry 9:
# PBE-GGA Zr2AuBr2, optimized geometry
# - Formation energy (no corrections): -0.12 eV/atom
# - V: 20.9 A^3/atom
# - Spin magnetization: 0.000 μB/f.u.
# - Energy above the most stable polymorph in this dataset: 28 meV/atom
# - E: -4.86 eV/atom
data_Zr2AuBr2
_chemical_formula_sum 'Zr4 Au2 Br4'
_cell_length_a 8.1525
_cell_length_b 8.1525
_cell_length_c 3.1452
_cell_angle_alpha 90.00
_cell_angle_beta 90.00
_cell_angle_gamma 90.00
_space_group_name_H-M_alt 'P 1'
_space_group_IT_number 1
_space_group_name_Hall 'P 1'
loop_
_atom_site_label
_atom_site_fract_x
_atom_site_fract_y
_atom_site_fract_z
Au1 0.0000 0.0000 0.0000
Au2 0.5000 0.5000 0.0000
Br1 0.3722 0.8722 0.0000
Br2 0.8722 0.6278 0.0000
Br3 0.6278 0.1278 0.0000
Br4 0.1278 0.3722 0.0000
Zr1 0.1734 0.6734 0.5000
Zr2 0.6734 0.8266 0.5000
Zr3 0.8266 0.3266 0.5000
Zr4 0.3266 0.1734 0.5000

Entry 10:
# PBE-GGA Pr3Y4Th, optimized geometry
# - V: 34.0 A^3/atom
# - Spin magnetization: 0.000 μB/f.u.
# - Energy above the most stable polymorph in this dataset: 0 meV/atom
# - E: -5.81 eV/atom
data_Pr3Y4Th
_chemical_formula_sum 'Pr3 Y4 Th1'
_cell_length_a 3.4661
_cell_length_b 9.0586
_cell_length_c 9.0586
_cell_angle_alpha 81.16
_cell_angle_beta 78.97
_cell_angle_gamma 78.97
_space_group_name_H-M_alt 'P 1'
_space_group_IT_number 1
_space_group_name_Hall 'P 1'
loop_
_atom_site_label
_atom_site_fract_x
_atom_site_fract_y
_atom_site_fract_z
Pr1 0.7689 0.2311 0.2311
Pr2 0.2311 0.7689 0.7689
Pr3 0.0000 0.5000 0.5000
Y1 0.6328 0.1193 0.6152
Y2 0.3672 0.8807 0.3848
Y3 0.3672 0.3848 0.8807
Y4 0.6328 0.6152 0.1193
Th1 0.5000 0.0000 0.0000

Entry 11:
# PBE-GGA ZrRu2W, optimized geometry
# - V: 16.5 A^3/atom
# - Spin magnetization: 0.000 μB/f.u.
# - E: -10.04 eV/atom
data_ZrRu2W
_chemical_formula_sum 'Zr1 Ru2 W1'
_cell_length_a 5.4075
_cell_length_b 5.4075
_cell_length_c 5.4075
_cell_angle_alpha 145.96
_cell_angle_beta 131.23
_cell_angle_gamma 60.81
_space_group_name_H-M_alt 'P 1'
_space_group_IT_number 1
_space_group_name_Hall 'P 1'
loop_
_atom_site_label
_atom_site_fract_x
_atom_site_fract_y
_atom_site_fract_z
Ru1 0.9938 0.9938 0.0000
Ru2 0.2663 0.7663 0.5000
W1 0.4930 0.4930 0.0000
Zr1 0.7469 0.2469 0.5000

Entry 12:
# PBE-GGA Cs2IrCl2F4, optimized geometry
# - Formation energy (no corrections): -1.88 eV/atom
# - V: 25.2 A^3/atom
# - Spin magnetization: 1.042 μB/f.u.
# - E: -4.30 eV/atom
data_Cs2IrCl2F4
_chemical_formula_sum 'Cs2 Ir1 Cl2 F4'
_cell_length_a 6.7354
_cell_length_b 6.7354
_cell_length_c 6.7354
_cell_angle_alpha 96.69
_cell_angle_beta 116.22
_cell_angle_gamma 116.22
_space_group_name_H-M_alt 'P 1'
_space_group_IT_number 1
_space_group_name_Hall 'P 1'
loop_
_atom_site_label
_atom_site_fract_x
_atom_site_fract_y
_atom_site_fract_z
Cs1 0.5000 0.7500 0.2500
Cs2 0.5000 0.2500 0.7500
Ir1 0.0000 0.0000 0.0000
Cl1 0.0000 0.7373 0.7373
Cl2 0.0000 0.2627 0.2627
F1 0.0000 0.8046 0.1954
F2 0.6093 0.8046 0.8046
F3 0.0000 0.1954 0.8046
F4 0.3907 0.1954 0.1954

Entry 13:
# PBE-GGA Cs2MgU3O12, optimized geometry
# - Formation energy (no corrections): -2.68 eV/atom
# - V: 18.6 A^3/atom
# - Spin magnetization: 0.000 μB/f.u.
# - E: -8.05 eV/atom
data_Cs2MgU3O12
_chemical_formula_sum 'Cs2 Mg1 U3 O12'
_cell_length_a 7.5685
_cell_length_b 7.5685
_cell_length_c 7.5685
_cell_angle_alpha 64.22
_cell_angle_beta 64.22
_cell_angle_gamma 64.22
_space_group_name_H-M_alt 'P 1'
_space_group_IT_number 1
_space_group_name_Hall 'P 1'
loop_
_atom_site_label
_atom_site_fract_x
_atom_site_fract_y
_atom_site_fract_z
Cs1 0.6244 0.6244 0.6244
Cs2 0.3756 0.3756 0.3756
Mg1 0.0000 0.0000 0.0000
U1 0.5000 0.0000 0.0000
U2 0.0000 0.5000 0.0000
U3 0.0000 0.0000 0.5000
O1 0.3177 0.3177 0.9350
O2 0.9379 0.9379 0.3165
O3 0.3165 0.9379 0.9379
O4 0.9350 0.3177 0.3177
O5 0.9379 0.3165 0.9379
O6 0.3177 0.9350 0.3177
O7 0.6823 0.6823 0.0650
O8 0.0621 0.0621 0.6835
O9 0.6835 0.0621 0.0621
O10 0.0650 0.6823 0.6823
O11 0.0621 0.6835 0.0621
O12 0.6823 0.0650 0.6823

Entry 14:
# PBE-GGA KNb2Ir, optimized geometry
# - V: 18.3 A^3/atom
# - Spin magnetization: 0.000 μB/f.u.
# - Energy above the most stable polymorph in this dataset: 0 meV/atom
# - E: -6.66 eV/atom
data_KNb2Ir
_chemical_formula_sum 'K1 Nb2 Ir1'
_cell_length_a 4.6962
_cell_length_b 4.6962
_cell_length_c 4.6962
_cell_angle_alpha 60.00
_cell_angle_beta 60.00
_cell_angle_gamma 60.00
_space_group_name_H-M_alt 'P 1'
_space_group_IT_number 1
_space_group_name_Hall 'P 1'
loop_
_atom_site_label
_atom_site_fract_x
_atom_site_fract_y
_atom_site_fract_z
Nb1 0.2500 0.2500 0.2500
Nb2 0.7500 0.7500 0.7500
Ir1 0.5000 0.5000 0.5000
K1 0.0000 0.0000 0.0000

Entry 15:
# PBE-GGA CaPmZnGe, optimized geometry
# - V: 24.2 A^3/atom
# - Spin magnetization: 0.000 μB/f.u.
# - E: -3.63 eV/atom
data_CaPmZnGe
_chemical_formula_sum 'Ca1 Pm1 Zn1 Ge1'
_cell_length_a 5.1509
_cell_length_b 5.1509
_cell_length_c 5.1509
_cell_angle_alpha 60.00
_cell_angle_beta 60.00
_cell_angle_gamma 60.00
_space_group_name_H-M_alt 'P 1'
_space_group_IT_number 1
_space_group_name_Hall 'P 1'
loop_
_atom_site_label
_atom_site_fract_x
_atom_site_fract_y
_atom_site_fract_z
Ge1 0.2500 0.2500 0.2500
Ca1 0.5000 0.5000 0.5000
Zn1 0.7500 0.7500 0.7500
Pm1 0.0000 0.0000 0.0000

Entry 16:
# PBE-GGA BeNbSbPIr, optimized geometry
# - Formation energy (no corrections): -0.15 eV/atom
# - V: 18.4 A^3/atom
# - Spin magnetization: 0.000 μB/f.u.
# - Energy above the most stable polymorph in this dataset: 248 meV/atom
# - E: -6.58 eV/atom
data_BeNbSbPIr
_chemical_formula_sum 'Be2 Nb2 Sb2 P2 Ir2'
_cell_length_a 7.2328
_cell_length_b 3.5941
_cell_length_c 7.7333
_cell_angle_alpha 90.00
_cell_angle_beta 113.55
_cell_angle_gamma 90.00
_space_group_name_H-M_alt 'P 1'
_space_group_IT_number 1
_space_group_name_Hall 'P 1'
loop_
_atom_site_label
_atom_site_fract_x
_atom_site_fract_y
_atom_site_fract_z
Sb1 0.1347 0.0000 0.4928
Sb2 0.1347 0.5000 0.9928
Nb1 0.5665 0.0000 0.6644
Nb2 0.5665 0.5000 0.1644
Ir1 0.8784 0.0000 0.0628
Ir2 0.8784 0.5000 0.5628
Be1 0.9368 0.0000 0.7707
Be2 0.9368 0.5000 0.2707
P1 0.6369 0.0000 0.3926
P2 0.6369 0.5000 0.8926

Entry 17:
# PBE-GGA La2InGaPd6, optimized geometry
# - V: 23.3 A^3/atom
# - Spin magnetization: 0.000 μB/f.u.
# - E: -5.31 eV/atom
data_La2InGaPd6
_chemical_formula_sum 'La2 In1 Ga1 Pd6'
_cell_length_a 8.7748
_cell_length_b 5.7531
_cell_length_c 5.7554
_cell_angle_alpha 60.01
_cell_angle_beta 70.84
_cell_angle_gamma 90.00
_space_group_name_H-M_alt 'P 1'
_space_group_IT_number 1
_space_group_name_Hall 'P 1'
loop_
_atom_site_label
_atom_site_fract_x
_atom_site_fract_y
_atom_site_fract_z
La1 0.3521 0.7844 0.4309
La2 0.6479 0.2156 0.5691
In1 0.0000 0.0000 0.0000
Ga1 0.5000 0.5000 0.0000
Pd1 0.2696 0.7606 0.9841
Pd2 0.7296 0.7459 0.0169
Pd3 0.2694 0.2540 0.4910
Pd4 0.7304 0.2394 0.0159
Pd5 0.2704 0.2541 0.9831
Pd6 0.7306 0.7460 0.5090

Entry 18:
# PBE-GGA CuIrS2, optimized geometry
# - Formation energy (no corrections): -0.23 eV/atom
# - V: 17.1 A^3/atom
# - Spin magnetization: 0.000 μB/f.u.
# - E: -5.53 eV/atom
data_CuIrS2
_chemical_formula_sum 'Cu1 Ir1 S2'
_cell_length_a 3.6126
_cell_length_b 6.2049
_cell_length_c 3.6523
_cell_angle_alpha 76.06
_cell_angle_beta 60.35
_cell_angle_gamma 89.99
_space_group_name_H-M_alt 'P 1'
_space_group_IT_number 1
_space_group_name_Hall 'P 1'
loop_
_atom_site_label
_atom_site_fract_x
_atom_site_fract_y
_atom_site_fract_z
S1 0.9589 0.6701 0.0923
S2 0.5080 0.2728 0.9945
Ir1 0.2255 0.4616 0.5596
Cu1 0.4320 0.9074 0.1439

Entry 19:
# PBE-GGA KMgBr, optimized geometry
# - Formation energy (no corrections): -0.69 eV/atom
# - V: 37.5 A^3/atom
# - Spin magnetization: 0.000 μB/f.u.
# - Energy above the most stable polymorph in this dataset: 0 meV/atom
# - E: -2.15 eV/atom
data_KMgBr
_chemical_formula_sum 'K1 Mg1 Br1'
_cell_length_a 4.2840
_cell_length_b 4.2840
_cell_length_c 7.0691
_cell_angle_alpha 90.00
_cell_angle_beta 90.00
_cell_angle_gamma 120.00
_space_group_name_H-M_alt 'P 1'
_space_group_IT_number 1
_space_group_name_Hall 'P 1'
loop_
_atom_site_label
_atom_site_fract_x
_atom_site_fract_y
_atom_site_fract_z
Br1 0.0000 0.0000 0.9926
K1 0.6667 0.3333 0.2966
Mg1 0.3333 0.6667 0.7108

Entry 20:
# PBE-GGA SiAgSb3, optimized geometry
# - Formation energy (no corrections): 0.98 eV/atom
# - V: 30.3 A^3/atom
# - Spin magnetization: 0.000 μB/f.u.
# - Energy above the most stable polymorph in this dataset: 265 meV/atom
# - E: -3.15 eV/atom
data_SiAgSb3
_chemical_formula_sum 'Si1 Ag1 Sb3'
_cell_length_a 5.3331
_cell_length_b 5.3331
_cell_length_c 5.3331
_cell_angle_alpha 90.00
_cell_angle_beta 90.00
_cell_angle_gamma 90.00
_space_group_name_H-M_alt 'P 1'
_space_group_IT_number 1
_space_group_name_Hall 'P 1'
loop_
_atom_site_label
_atom_site_fract_x
_atom_site_fract_y
_atom_site_fract_z
Sb1 0.0000 0.5000 0.0000
Sb2 0.0000 0.0000 0.5000
Sb3 0.5000 0.0000 0.0000
Si1 0.5000 0.5000 0.5000
Ag1 0.0000 0.0000 0.0000